Record 1
Below is a relaxed structure of Hf4InO, with properties calculated at the PBE level.

Structure (extended XYZ):
```
12
Lattice="-2.498 -3.899 3.065 0.326 -2.479 -6.250 7.246 0.373 3.031" Properties=species:S:1:pos:R:3 pbc="T T T"
In 0.762 -2.774 -2.073
In 4.312 -3.232 1.919
Hf 5.502 -2.457 -0.652
Hf 3.609 -3.181 -2.835
Hf 2.640 -1.573 0.101
Hf 1.465 -2.824 2.681
Hf -0.919 -5.727 -1.666
Hf 2.434 -4.432 -0.255
Hf -0.428 -3.548 0.498
Hf 5.993 -0.278 1.512
O 5.704 -2.513 -2.743
O -0.630 -3.493 2.589
```

Results
Total energy, eV/atom: -8.5479
Symmetry: C2/c

Record 2
Below is a relaxed structure of Co4Br, with properties calculated at the PBE level.

Structure (extended XYZ):
```
5
Lattice="4.278 0.000 0.000 0.000 4.278 0.000 0.000 0.000 4.278" Properties=species:S:1:pos:R:3 pbc="T T T"
Co 0.000 0.000 0.000
Co 2.139 2.139 0.000
Co 2.139 0.000 2.139
Co 0.000 2.139 2.139
Br 2.139 2.139 2.139
```

Results
Total energy, eV/atom: -4.6456
Symmetry: Pm-3m

Record 3
Below is a relaxed structure of SrPmNiHg, with properties calculated at the PBE level.

Structure (extended XYZ):
```
4
Lattice="5.275 0.000 0.000 2.638 4.569 0.000 2.638 1.523 4.307" Properties=species:S:1:pos:R:3 pbc="T T T"
Hg 7.913 4.569 3.230
Ni 2.638 1.523 1.077
Pm 5.275 3.046 2.154
Sr 0.000 0.000 0.000
```

Results
Total energy, eV/atom: -3.3088
Symmetry: F-43m
Formation enthalpy at 0 K, eV/f.u.: -0.7

Record 4
Below is a relaxed structure of Pm13Tm2, with properties calculated at the PBE level.

Structure (extended XYZ):
```
15
Lattice="0.784 5.309 4.740 -2.827 -0.603 6.551 9.232 -3.314 7.593" Properties=species:S:1:pos:R:3 pbc="T T T"
Pm 0.971 3.589 6.636
Pm 6.218 -2.197 12.247
Pm 3.594 0.696 9.442
Pm 5.323 2.679 12.343
Pm -0.819 0.658 7.533
Pm 3.656 1.644 5.643
Pm 3.532 -0.253 13.241
Pm 1.866 -1.287 6.540
Pm 3.921 2.380 15.591
Pm 8.008 0.734 11.350
Pm 7.619 -1.898 9.000
Pm 3.268 -0.988 3.292
Pm -0.431 3.290 9.883
Tm 6.691 0.404 14.664
Tm 0.498 0.988 4.219
```

Results
Total energy, eV/atom: -4.5702
Symmetry: R-3m
E above lowest polymorph, meV per atom: 84.5
Formation enthalpy at 0 K, eV/f.u.: 2.1

Record 5
Below is a relaxed structure of SrMg6Bi, with properties calculated at the PBE level.

Structure (extended XYZ):
```
8
Lattice="-6.372 2.837 -2.421 1.819 -1.277 7.040 1.937 4.642 0.342" Properties=species:S:1:pos:R:3 pbc="T T T"
Mg -0.471 0.074 1.668
Mg -3.018 3.775 3.016
Mg -3.722 4.314 -0.309
Mg -2.984 0.935 4.219
Mg -0.703 2.982 0.667
Mg -3.407 1.348 1.003
Bi -0.242 2.566 3.712
Sr 0.213 -0.470 5.184
```

Results
Total energy, eV/atom: -1.9513
Symmetry: Amm2
E above lowest polymorph, meV per atom: 2.8
Formation enthalpy at 0 K, eV/f.u.: -0.5

Record 6
Below is a relaxed structure of Nd2BrO2, with properties calculated at the PBE level.

Structure (extended XYZ):
```
5
Lattice="3.910 0.000 0.000 0.000 3.910 0.000 0.000 0.000 6.650" Properties=species:S:1:pos:R:3 pbc="T T T"
O 0.000 1.955 3.325
O 1.955 0.000 3.325
Nd 1.955 1.955 4.713
Nd 1.955 1.955 1.937
Br 0.000 0.000 0.000
```

Results
Total energy, eV/atom: -6.4912
Symmetry: P4/mmm

Record 7
Below is a relaxed structure of TlSbAu, with properties calculated at the PBE level.

Structure (extended XYZ):
```
12
Lattice="6.137 0.000 0.000 0.000 6.802 -0.565 0.000 0.388 8.517" Properties=species:S:1:pos:R:3 pbc="T T T"
Au 0.128 1.470 1.042
Au 3.196 5.527 2.652
Au 6.009 5.721 6.911
Au 2.940 1.664 5.300
Tl 1.330 4.199 0.751
Tl 4.399 2.797 2.943
Tl 1.738 4.394 5.010
Tl 4.806 2.992 7.201
Sb 4.211 6.365 0.221
Sb 1.926 0.825 7.731
Sb 1.143 0.631 3.473
Sb 4.994 6.560 4.480
```

Results
Total energy, eV/atom: -3.2800
Symmetry: P2_1/c
E above lowest polymorph, meV per atom: 76.0

Record 8
Below is a relaxed structure of Nd4CuNi2, with properties calculated at the PBE level.

Structure (extended XYZ):
```
7
Lattice="-2.697 0.719 -3.843 -4.684 -0.757 0.211 -3.729 8.534 1.278" Properties=species:S:1:pos:R:3 pbc="T T T"
Nd -6.012 7.333 -0.278
Nd -2.946 3.263 -0.257
Nd -5.097 1.163 -2.075
Nd -8.163 5.233 -2.097
Ni -3.375 6.150 0.584
Ni -7.734 2.346 -2.938
Cu 0.000 0.000 0.000
```

Results
Total energy, eV/atom: -5.0868
Symmetry: R-3m
Formation enthalpy at 0 K, eV/f.u.: -0.9

Record 9
Below is a relaxed structure of Fe2AuBr, with properties calculated at the PBE level.

Structure (extended XYZ):
```
4
Lattice="-1.509 3.839 -0.771 -3.692 1.916 0.559 2.250 1.510 5.879" Properties=species:S:1:pos:R:3 pbc="T T T"
Br -1.345 2.156 0.909
Fe 1.978 1.583 5.538
Fe -1.968 5.339 4.493
Au -0.839 3.329 3.439
```

Results
Total energy, eV/atom: -5.0979
Symmetry: Cm

Record 10
Below is a relaxed structure of Y2FeAu, with properties calculated at the PBE level.

Structure (extended XYZ):
```
4
Lattice="-3.572 1.833 -4.726 -2.648 -1.420 -5.425 -4.488 -1.382 0.493" Properties=species:S:1:pos:R:3 pbc="T T T"
Fe -8.073 -0.683 -7.505
Y -2.655 -0.264 -2.284
Y -4.534 -1.335 0.210
Au -5.287 -0.555 -4.413
```

Results
Total energy, eV/atom: -6.3546
Symmetry: Imm2
Formation enthalpy at 0 K, eV/f.u.: -0.8

Record 11
Below is a relaxed structure of PmCu4Pd, with properties calculated at the PBE level.

Structure (extended XYZ):
```
6
Lattice="-5.045 0.232 -0.264 -2.720 -4.259 -0.188 -2.806 -1.386 3.972" Properties=species:S:1:pos:R:3 pbc="T T T"
Cu -5.246 -1.240 2.299
Cu -4.073 -3.506 2.337
Cu -5.203 -2.690 0.199
Cu -6.620 -3.389 2.204
Pm -2.643 -1.353 0.880
Pd 0.000 0.000 0.000
```

Results
Total energy, eV/atom: -4.7004
Symmetry: F-43m
Formation enthalpy at 0 K, eV/f.u.: -1.9

Record 12
Below is a relaxed structure of RbBe2H2, with properties calculated at the PBE level.

Structure (extended XYZ):
```
20
Lattice="7.954 0.000 -0.010 0.000 10.441 0.000 -6.582 0.000 3.839" Properties=species:S:1:pos:R:3 pbc="T T T"
H -1.247 4.589 2.120
H 2.619 5.852 1.709
H 2.044 9.809 0.201
H -0.672 0.632 3.629
H 6.021 5.852 0.196
H -1.358 9.809 1.714
H 2.730 0.632 2.115
H -4.649 4.589 3.634
Be -1.909 0.141 3.001
Be 5.359 10.300 1.076
Be -3.987 0.141 2.753
Be 1.382 5.362 1.081
Be -0.010 5.079 2.748
Be 3.281 10.300 0.829
Be -0.696 5.362 0.833
Be 2.068 5.079 2.996
Rb 4.320 3.239 0.952
Rb -2.948 7.202 2.877
Rb 1.029 8.460 2.872
Rb 0.343 1.981 0.957
```

Results
Total energy, eV/atom: -3.0074
Symmetry: C2/c
E above lowest polymorph, meV per atom: 12.2